Record 1
The following is a PBE-GGA calculation of a relaxed structure of NaLuPdPb, from Alexandria.

Calculated values
- ΔE_f (kcal/mol of atoms) = -7.7
- space group = F-43m (216)

Cell lengths 5.0504, 5.0504, 5.0504 Å; angles 60.00, 60.00, 60.00 degrees
Closest atoms and distances in Å follow each position.
Atoms (fractional coordinates):
1 Na 0.0000 0.0000 0.0000  4 Pb 3.09, 4 Pd 3.09
2 Lu 0.5000 0.5000 0.5000  4 Pb 3.09, 4 Pd 3.09
3 Pd 0.2500 0.2500 0.2500  4 Na 3.09, 4 Lu 3.09
4 Pb 0.7500 0.7500 0.7500  4 Lu 3.09, 4 Na 3.09



Record 2
The following is a PBE-GGA calculation of a relaxed structure of NaPmLuPb, from Alexandria.

Calculated values
- ΔE_f (kcal/mol of atoms) = -2.5
- space group = F-43m (216)

Cell lengths 5.4308, 5.4308, 5.4308 Å; angles 60.00, 60.00, 60.00 degrees
Closest atoms and distances in Å follow each position.
Atoms (fractional coordinates):
1 Na 0.0000 0.0000 0.0000  4 Lu 3.33, 4 Pm 3.33
2 Pm 0.2500 0.2500 0.2500  4 Pb 3.33, 4 Na 3.33
3 Lu 0.7500 0.7500 0.7500  4 Pb 3.33, 4 Na 3.33
4 Pb 0.5000 0.5000 0.5000  4 Pm 3.33, 4 Lu 3.33



Record 3
The following is a PBE-GGA calculation of a relaxed structure of NaLuSnPb, from Alexandria.

Calculated values
- ΔE_f (kcal/mol of atoms) = -5.5
- space group = F-43m (216)

Cell lengths 5.3373, 5.3373, 5.3373 Å; angles 60.00, 60.00, 60.00 degrees
Closest atoms and distances in Å follow each position.
Atoms (fractional coordinates):
1 Na 0.0000 0.0000 0.0000  4 Pb 3.27, 4 Sn 3.27
2 Lu 0.5000 0.5000 0.5000  4 Sn 3.27, 4 Pb 3.27
3 Sn 0.2500 0.2500 0.2500  4 Lu 3.27, 4 Na 3.27
4 Pb 0.7500 0.7500 0.7500  4 Lu 3.27, 4 Na 3.27



Record 4
The following is a PBE-GGA calculation of a relaxed structure of NaLuTlPb, from Alexandria.

Calculated values
- ΔE_f (kcal/mol of atoms) = -4.6
- space group = F-43m (216)

Cell lengths 5.3498, 5.3498, 5.3498 Å; angles 60.00, 60.00, 60.00 degrees
Closest atoms and distances in Å follow each position.
Atoms (fractional coordinates):
1 Na 0.0000 0.0000 0.0000  4 Pb 3.28, 4 Tl 3.28
2 Lu 0.5000 0.5000 0.5000  4 Tl 3.28, 4 Pb 3.28
3 Tl 0.2500 0.2500 0.2500  4 Na 3.28, 4 Lu 3.28
4 Pb 0.7500 0.7500 0.7500  4 Na 3.28, 4 Lu 3.28



Record 5
The following is a PBE-GGA calculation of a relaxed structure of NaLuZnPb, from Alexandria.

Calculated values
- ΔE_f (kcal/mol of atoms) = -4.3
- space group = F-43m (216)

Cell lengths 5.1754, 5.1754, 5.1754 Å; angles 60.00, 60.00, 60.00 degrees
Closest atoms and distances in Å follow each position.
Atoms (fractional coordinates):
1 Na 0.0000 0.0000 0.0000  4 Pb 3.17, 4 Zn 3.17
2 Lu 0.5000 0.5000 0.5000  4 Pb 3.17, 4 Zn 3.17
3 Zn 0.7500 0.7500 0.7500  4 Na 3.17, 4 Lu 3.17
4 Pb 0.2500 0.2500 0.2500  4 Na 3.17, 4 Lu 3.17



Record 6
The following is a PBE-GGA calculation of a relaxed structure of NaLu2Pd, from Alexandria.

Calculated values
- ΔE_f (kcal/mol of atoms) = -4.4
- space group = R-3m (166)

Cell lengths 10.5304, 10.5304, 10.5304 Å; angles 21.56, 21.56, 21.56 degrees
Closest atoms and distances in Å follow each position.
Atoms (fractional coordinates):
1 Na 0.0000 0.0000 0.0000  2 Lu 3.64, 6 Na 3.94
2 Lu 0.1179 0.1179 0.1179  3 Pd 2.73
3 Lu 0.8821 0.8821 0.8821  3 Pd 2.73
4 Pd 0.5000 0.5000 0.5000  6 Lu 2.73



Record 7
The following is a PBE-GGA calculation of a relaxed structure of NaLu2Pd, from Alexandria.

Calculated values
- ΔE_f (kcal/mol of atoms) = -7.5
- space group = P4/mmm (123)

Cell lengths 3.3954, 3.3954, 9.4389 Å; angles 90.00, 90.00, 90.00 degrees
Closest atoms and distances in Å follow each position.
Atoms (fractional coordinates):
1 Na 0.0000 0.0000 0.0000  4 Na 3.40
2 Lu 0.5000 0.5000 0.3216  4 Pd 2.93
3 Lu 0.5000 0.5000 0.6784  4 Pd 2.93
4 Pd 0.0000 0.0000 0.5000  8 Lu 2.93



Record 8
The following is a PBE-GGA calculation of a relaxed structure of NaLuPd4, from Alexandria.

Calculated values
- ΔE_f (kcal/mol of atoms) = -12.3
- space group = F-43m (216)

Cell lengths 5.3686, 5.3686, 5.3686 Å; angles 60.00, 60.00, 60.00 degrees
Closest atoms and distances in Å follow each position.
Atoms (fractional coordinates):
1 Na 0.0000 0.0000 0.0000  12 Pd 3.15, 4 Lu 3.29
2 Lu 0.2500 0.2500 0.2500  12 Pd 3.15, 4 Na 3.29
3 Pd 0.1252 0.6249 0.6249  6 Pd 2.68-2.69
4 Pd 0.6249 0.1252 0.6249  6 Pd 2.68-2.69
5 Pd 0.6249 0.6249 0.1252  6 Pd 2.68-2.69
6 Pd 0.6249 0.6249 0.6249  6 Pd 2.68-2.69



What is the ΔE_f in the third record?
-5.5 kcal/mol of atoms



What is the ΔE_f in the sixth record?
-4.4 kcal/mol of atoms



ΔE_f of number 2 (NaPmLuPb)?
-2.5 kcal/mol of atoms